[1]
Here is NaGaP2Cl after structural relaxation from Alexandria. Energies are from GGA-PBE.

The space group is P4/mmm (No. 123) and the conventional cell measures 5.126, 5.126 and 5.246 Å, with angles of 90.00, 90.00 and 90.00 degrees. Symmetry generates all atoms from Na at (0.000, 0.000, 0.000), Ga at (0.500, 0.500, 0.500), P at (0.000, 0.500, 0.000) and Cl at (0.000, 0.000, 0.500).

The uncorrected formation energy is 0.781 eV/atom. For the energy above the most stable polymorph in this dataset, the calculation gives 0.687 eV/atom. Its crystal system is tetragonal.



[2]
Here is Pm2HoTm3Se6 after structural relaxation from Alexandria. Energies are from GGA-PBE.

The space group is C2/m (No. 12) and the conventional cell measures 17.883, 4.047 and 8.252 Å, with angles of 90.00, 104.57 and 90.00 degrees. Symmetry generates all atoms from Pm at (0.169, 0.000, 0.336), Ho at (0.000, 0.500, 0.000), Tm at (0.000, 0.500, 0.500), Tm at (0.170, 0.000, 0.833), Se at (0.004, 0.000, 0.750), Se at (0.162, 0.500, 0.593) and Se at (0.166, 0.500, 0.071).

The uncorrected formation energy is -1.732 eV/atom. Its crystal system is monoclinic.



[3]
Here is TiAuBr2 after structural relaxation from Alexandria. Energies are from GGA-PBE.

The space group is Fm-3m (No. 225) and the conventional cell measures 7.004, 7.004 and 7.004 Å, with angles of 90.00, 90.00 and 90.00 degrees. Symmetry generates all atoms from Ti at (0.000, 0.000, 0.000), Au at (0.000, 0.000, 0.500) and Br at (0.250, 0.250, 0.250).

The uncorrected formation energy is 0.045 eV/atom. For the energy above the most stable polymorph in this dataset, the calculation gives 0.502 eV/atom. Its crystal system is cubic.



[4]
Here is Pr3SbI2 after structural relaxation from Alexandria. Energies are from GGA-PBE.

The space group is Cmcm (No. 63) and the conventional cell measures 7.187, 16.842 and 7.110 Å, with angles of 90.00, 90.00 and 90.00 degrees. Symmetry generates all atoms from Pr at (0.000, 0.124, 0.250), Pr at (0.246, 0.339, 0.250), Sb at (0.000, 0.311, 0.750) and I at (0.249, 0.500, 0.000).

The uncorrected formation energy is -0.604 eV/atom. Its crystal system is orthorhombic.



[5]
Here is CaFe2As after structural relaxation from Alexandria. Energies are from GGA-PBE.

The space group is C2/m (No. 12) and the conventional cell measures 7.094, 4.096 and 5.674 Å, with angles of 90.00, 114.75 and 90.00 degrees. Symmetry generates all atoms from Ca at (0.000, 0.000, 0.000), Fe at (0.183, 0.000, 0.549) and As at (0.000, 0.500, 0.500).

The total energy comes out at -6.0879 eV/atom. Its crystal system is monoclinic.



[6]
Here is Rb3HfC after structural relaxation from Alexandria. Energies are from GGA-PBE.

The space group is Pm-3m (No. 221) and the conventional cell measures 6.069, 6.069 and 6.069 Å, with angles of 90.00, 90.00 and 90.00 degrees. Symmetry generates all atoms from Rb at (0.000, 0.000, 0.500), Hf at (0.500, 0.500, 0.500) and C at (0.000, 0.000, 0.000).

For the energy above the most stable polymorph in this dataset, the calculation gives 0.000 eV/atom. Its crystal system is cubic.



[7]
Here is HgSb2Te after structural relaxation from Alexandria. Energies are from GGA-PBE.

The space group is R3m (No. 160, hexagonal axes) and the conventional cell measures 3.2871, 3.2871 and 37.7165 Å, with angles of 90.00, 90.00 and 120.00 degrees. Symmetry generates all atoms from Hg at (0.0000, 0.0000, 0.0000), Sb at (0.0000, 0.0000, 0.2489), Sb at (0.0000, 0.0000, 0.5141) and Te at (0.0000, 0.0000, 0.7559).

The uncorrected formation energy is 0.216 eV/atom. For the energy above the most stable polymorph in this dataset, the calculation gives 0.183 eV/atom. Its crystal system is trigonal.



[8]
Here is Ca3Hg4Pd8 after structural relaxation from Alexandria. Energies are from GGA-PBE.

The space group is Fm-3m (No. 225) and the conventional cell measures 13.365, 13.365 and 13.365 Å, with angles of 90.00, 90.00 and 90.00 degrees. Symmetry generates all atoms from Ca at (0.000, 0.000, 0.232), Hg at (0.000, 0.000, 0.000), Hg at (0.000, 0.000, 0.500), Hg at (0.000, 0.250, 0.250), Pd at (0.122, 0.122, 0.378) and Pd at (0.173, 0.173, 0.173).

The total energy comes out at -3.7302 eV/atom. Its crystal system is cubic.



[9]
Here is CsCu3S3 after structural relaxation from Alexandria. Energies are from GGA-PBE.

The space group is R-3 (No. 148, hexagonal axes) and the conventional cell measures 6.6444, 6.6444 and 25.1344 Å, with angles of 90.00, 90.00 and 120.00 degrees. Symmetry generates all atoms from Cs at (0.0000, 0.0000, 0.1667), Cu at (0.0000, 0.3341, 0.6311) and S at (0.9999, 0.3319, 0.3933).

The uncorrected formation energy is -0.430 eV/atom. For the energy above the most stable polymorph in this dataset, the calculation gives 0.046 eV/atom. Its crystal system is trigonal.



[10]
Here is CsTiNi3 after structural relaxation from Alexandria. Energies are from GGA-PBE.

The space group is Pm-3m (No. 221) and the conventional cell measures 4.752, 4.752 and 4.752 Å, with angles of 90.00, 90.00 and 90.00 degrees. Symmetry generates all atoms from Cs at (0.000, 0.000, 0.000), Ti at (0.500, 0.500, 0.500) and Ni at (0.000, 0.500, 0.500).

For the energy above the most stable polymorph in this dataset, the calculation gives 0.000 eV/atom. Its crystal system is cubic.



[11]
Here is Ba2TaPdCl after structural relaxation from Alexandria. Energies are from GGA-PBE.

The space group is P4/mmm (No. 123) and the conventional cell measures 6.046, 6.046 and 4.663 Å, with angles of 90.00, 90.00 and 90.00 degrees. Symmetry generates all atoms from Ba at (0.000, 0.500, 0.000), Ta at (0.000, 0.000, 0.500), Pd at (0.500, 0.500, 0.500) and Cl at (0.500, 0.500, 0.000).

The uncorrected formation energy is 0.330 eV/atom. Its crystal system is tetragonal.



[12]
Here is TbCeDy2Bi4 after structural relaxation from Alexandria. Energies are from GGA-PBE.

The space group is P2/m (No. 10) and the conventional cell measures 7.811, 4.517 and 7.814 Å, with angles of 90.00, 109.46 and 90.00 degrees. Symmetry generates all atoms from Tb at (0.000, 0.000, 0.000), Ce at (0.000, 0.500, 0.500), Dy at (0.500, 0.000, 0.500), Dy at (0.500, 0.500, 0.000), Bi at (0.253, 0.500, 0.249) and Bi at (0.255, 0.000, 0.754).

The total energy comes out at -5.2587 eV/atom. Its crystal system is monoclinic.



[13]
Here is AgW2Au after structural relaxation from Alexandria. Energies are from GGA-PBE.

The space group is I4/mmm (No. 139) and the conventional cell measures 3.868, 3.868 and 8.869 Å, with angles of 90.00, 90.00 and 90.00 degrees. Symmetry generates all atoms from Ag at (0.000, 0.000, 0.000), W at (0.000, 0.500, 0.250) and Au at (0.000, 0.000, 0.500).

For the energy above the most stable polymorph in this dataset, the calculation gives 0.287 eV/atom. Its crystal system is tetragonal.



[14]
Here is Pm5Ag2Hg2 after structural relaxation from Alexandria. Energies are from GGA-PBE.

The space group is Cmce (No. 64) and the conventional cell measures 17.047, 7.454 and 8.170 Å, with angles of 90.00, 90.00 and 90.00 degrees. Symmetry generates all atoms from Pm at (0.000, 0.000, 0.000), Pm at (0.139, 0.175, 0.323), Ag at (0.000, 0.118, 0.633) and Hg at (0.215, 0.000, 0.000).

The total energy comes out at -3.6122 eV/atom. Its crystal system is orthorhombic.



[15]
Here is KReSb2 after structural relaxation from Alexandria. Energies are from GGA-PBE.

The space group is I-4m2 (No. 119) and the conventional cell measures 4.389, 4.389 and 10.083 Å, with angles of 90.00, 90.00 and 90.00 degrees. Symmetry generates all atoms from K at (0.000, 0.000, 0.000), Re at (0.000, 0.500, 0.750), Sb at (0.000, 0.000, 0.500) and Sb at (0.000, 0.500, 0.250).

The uncorrected formation energy is 0.993 eV/atom. For the energy above the most stable polymorph in this dataset, the calculation gives 0.936 eV/atom. Its crystal system is tetragonal.



[16]
Here is KPuHgSb after structural relaxation from Alexandria. Energies are from GGA-PBE.

The space group is F-43m (No. 216) and the conventional cell measures 7.862, 7.862 and 7.862 Å, with angles of 90.00, 90.00 and 90.00 degrees. Symmetry generates all atoms from K at (0.000, 0.000, 0.000), Pu at (0.000, 0.000, 0.500), Hg at (0.250, 0.250, 0.250) and Sb at (0.250, 0.250, 0.750).

The uncorrected formation energy is -0.273 eV/atom. Its crystal system is cubic.



[17]
Here is Pr3SmHo6Tm2 after structural relaxation from Alexandria. Energies are from GGA-PBE.

The space group is C2/m (No. 12) and the conventional cell measures 6.198, 10.731 and 11.811 Å, with angles of 90.00, 100.05 and 90.00 degrees. Symmetry generates all atoms from Pr at (0.000, 0.000, 0.000), Pr at (0.000, 0.333, 0.000), Sm at (0.000, 0.500, 0.500), Ho at (0.248, 0.000, 0.745), Ho at (0.249, 0.333, 0.745) and Tm at (0.000, 0.167, 0.500).

The total energy comes out at -4.6005 eV/atom. Its crystal system is monoclinic.



[18]
Here is KBa2NaPb after structural relaxation from Alexandria. Energies are from GGA-PBE.

The space group is P4/mmm (No. 123) and the conventional cell measures 6.928, 6.928 and 6.212 Å, with angles of 90.00, 90.00 and 90.00 degrees. Symmetry generates all atoms from K at (0.000, 0.000, 0.000), Ba at (0.000, 0.500, 0.500), Na at (0.500, 0.500, 0.000) and Pb at (0.500, 0.500, 0.500).

For the energy above the most stable polymorph in this dataset, the calculation gives 0.000 eV/atom. Its crystal system is tetragonal.



[19]
Here is Rb5PuS5 after structural relaxation from Alexandria. Energies are from GGA-PBE.

The space group is C2/m (No. 12) and the conventional cell measures 15.065, 6.168 and 8.968 Å, with angles of 90.00, 109.15 and 90.00 degrees. Symmetry generates all atoms from Rb at (0.000, 0.000, 0.000), Rb at (0.174, 0.500, 0.347), Rb at (0.194, 0.500, 0.806), Pu at (0.000, 0.000, 0.500), S at (0.000, 0.500, 0.500), S at (0.127, 0.000, 0.361) and S at (0.134, 0.000, 0.778).

The uncorrected formation energy is -1.100 eV/atom. Its crystal system is monoclinic.



[20]
Here is Tc2HgSb after structural relaxation from Alexandria. Energies are from GGA-PBE.

The space group is Fm-3m (No. 225) and the conventional cell measures 6.533, 6.533 and 6.533 Å, with angles of 90.00, 90.00 and 90.00 degrees. Symmetry generates all atoms from Tc at (0.250, 0.250, 0.250), Hg at (0.000, 0.000, 0.000) and Sb at (0.000, 0.000, 0.500).

The uncorrected formation energy is 0.502 eV/atom. For the energy above the most stable polymorph in this dataset, the calculation gives 0.323 eV/atom. Its crystal system is cubic.